The following is a GGA-PBE calculation of an optimized crystal structure of CsPrI3, from Alexandria.

Cell: 8.878 8.878 7.123 Å, 90.00 90.00 120.00°
Fractional coordinates of all 10 atoms:
Cs (0.333, 0.667, 0.250)
Cs (0.667, 0.333, 0.750)
Pr (0.000, 0.000, 0.000)
Pr (0.000, 0.000, 0.500)
I (0.175, 0.350, 0.750)
I (0.175, 0.825, 0.750)
I (0.350, 0.175, 0.250)
I (0.650, 0.825, 0.750)
I (0.825, 0.175, 0.250)
I (0.825, 0.650, 0.250)

Output
- SG: No. 194
- Size of the total moment: 0.25 μB per formula unit
- Energy above the most stable polymorph in this dataset: 0.000 eV per atom
- Formation energy (no corrections): -7.0 eV per formula unit
- V: 486.3 Å³ per cell
- Fermi-level density of states: 0.454 states/eV/atom